Computed, not measured: a relaxed KTaRu4 crystal at the PBE level of DFT.

CIF file:
```
data_KTaRu4
_chemical_formula_sum 'K1 Ta1 Ru4'
_cell_length_a 5.237
_cell_length_b 5.237
_cell_length_c 5.237
_cell_angle_alpha 60.00
_cell_angle_beta 60.00
_cell_angle_gamma 60.00
_symmetry_space_group_name_H-M 'P 1'
_symmetry_Int_Tables_number 1
loop_
_symmetry_equiv_pos_as_xyz
'x,y,z'
loop_
_atom_site_label
_atom_site_type_symbol
_atom_site_fract_x
_atom_site_fract_y
_atom_site_fract_z
K1 K 0.000 0.000 0.000
Ta1 Ta 0.250 0.250 0.250
Ru1 Ru 0.127 0.624 0.624
Ru2 Ru 0.624 0.127 0.624
Ru3 Ru 0.624 0.624 0.127
Ru4 Ru 0.624 0.624 0.624
```

Summary:
The calculation puts the calculated density at 10.2 g/cm³. As for the energy relative to the elements: 4.24 eV/f.u.

---

Computed, not measured: a relaxed K2TaRu crystal at the PBE level of DFT.

CIF file:
```
data_K2TaRu
_chemical_formula_sum 'K2 Ta1 Ru1'
_cell_length_a 6.586
_cell_length_b 6.586
_cell_length_c 2.634
_cell_angle_alpha 90.00
_cell_angle_beta 90.00
_cell_angle_gamma 90.00
_symmetry_space_group_name_H-M 'P 1'
_symmetry_Int_Tables_number 1
loop_
_symmetry_equiv_pos_as_xyz
'x,y,z'
loop_
_atom_site_label
_atom_site_type_symbol
_atom_site_fract_x
_atom_site_fract_y
_atom_site_fract_z
K1 K 0.000 0.500 0.000
K2 K 0.500 0.000 0.000
Ta1 Ta 0.000 0.000 0.500
Ru1 Ru 0.500 0.500 0.500
```

Summary:
The calculation puts the calculated density at 5.2 g/cm³. As for the energy relative to the elements: 7.68 eV/f.u.

---

Computed, not measured: a relaxed K2TaRu crystal at the PBE level of DFT.

CIF file:
```
data_K2TaRu
_chemical_formula_sum 'K2 Ta1 Ru1'
_cell_length_a 12.385
_cell_length_b 12.385
_cell_length_c 12.385
_cell_angle_alpha 13.51
_cell_angle_beta 13.51
_cell_angle_gamma 13.51
_symmetry_space_group_name_H-M 'P 1'
_symmetry_Int_Tables_number 1
loop_
_symmetry_equiv_pos_as_xyz
'x,y,z'
loop_
_atom_site_label
_atom_site_type_symbol
_atom_site_fract_x
_atom_site_fract_y
_atom_site_fract_z
K1 K 0.243 0.243 0.243
K2 K 0.757 0.757 0.757
Ta1 Ta 0.000 0.000 0.000
Ru1 Ru 0.500 0.500 0.500
```

Summary:
The calculation puts the calculated density at 6.6 g/cm³. As for the energy relative to the elements: 5.23 eV/f.u.

---

Computed, not measured: a relaxed KTaRu3 crystal at the PBE level of DFT.

CIF file:
```
data_KTaRu3
_chemical_formula_sum 'K1 Ta1 Ru3'
_cell_length_a 4.474
_cell_length_b 4.474
_cell_length_c 4.474
_cell_angle_alpha 90.00
_cell_angle_beta 90.00
_cell_angle_gamma 90.00
_symmetry_space_group_name_H-M 'P 1'
_symmetry_Int_Tables_number 1
loop_
_symmetry_equiv_pos_as_xyz
'x,y,z'
loop_
_atom_site_label
_atom_site_type_symbol
_atom_site_fract_x
_atom_site_fract_y
_atom_site_fract_z
K1 K 0.000 0.000 0.000
Ta1 Ta 0.500 0.500 0.500
Ru1 Ru 0.000 0.000 0.500
Ru2 Ru 0.000 0.500 0.000
Ru3 Ru 0.500 0.000 0.000
```

Summary:
The calculation puts the calculated density at 9.7 g/cm³. As for the energy relative to the elements: 13.48 eV/f.u.

---

Computed, not measured: a relaxed K2TaRu crystal at the PBE level of DFT.

CIF file:
```
data_K2TaRu
_chemical_formula_sum 'K2 Ta1 Ru1'
_cell_length_a 10.853
_cell_length_b 10.853
_cell_length_c 10.853
_cell_angle_alpha 163.01
_cell_angle_beta 158.92
_cell_angle_gamma 27.20
_symmetry_space_group_name_H-M 'P 1'
_symmetry_Int_Tables_number 1
loop_
_symmetry_equiv_pos_as_xyz
'x,y,z'
loop_
_atom_site_label
_atom_site_type_symbol
_atom_site_fract_x
_atom_site_fract_y
_atom_site_fract_z
K1 K 0.149 0.149 0.000
K2 K 0.851 0.851 0.000
Ta1 Ta 0.500 0.000 0.500
Ru1 Ru 0.000 0.500 0.500
```

Summary:
The calculation puts the calculated density at 4.5 g/cm³. As for the energy relative to the elements: 2.29 eV/f.u.

---

Computed, not measured: a relaxed K2TaRu crystal at the PBE level of DFT.

CIF file:
```
data_K2TaRu
_chemical_formula_sum 'K2 Ta1 Ru1'
_cell_length_a 5.247
_cell_length_b 5.247
_cell_length_c 5.247
_cell_angle_alpha 60.00
_cell_angle_beta 60.00
_cell_angle_gamma 60.00
_symmetry_space_group_name_H-M 'P 1'
_symmetry_Int_Tables_number 1
loop_
_symmetry_equiv_pos_as_xyz
'x,y,z'
loop_
_atom_site_label
_atom_site_type_symbol
_atom_site_fract_x
_atom_site_fract_y
_atom_site_fract_z
K1 K 0.250 0.250 0.250
K2 K 0.750 0.750 0.750
Ta1 Ta 0.000 0.000 0.000
Ru1 Ru 0.500 0.500 0.500
```

Summary:
The calculation puts the calculated density at 5.9 g/cm³. As for the energy relative to the elements: 9.64 eV/f.u.

---

Question: Look up the energy relative to the elements of the third one.
Answer: 5.23 eV/f.u.